(1)
A plane-wave DFT calculation with PBE-GGA was carried out for Sr2ZnSn2Au after structural relaxation.

Structure (POSCAR):
```
Sr2ZnSn2Au
1.0
4.713 0.000 0.000
-2.357 4.082 0.000
0.000 0.000 9.014
Au Sn Sr Zn
1 2 2 1
Direct
0.000 0.000 0.500
0.000 0.000 0.000
0.667 0.333 0.500
0.333 0.667 0.255
0.333 0.667 0.745
0.667 0.333 0.000
```

Calculated values
crystal system = hexagonal



(2)
A plane-wave DFT calculation with PBE-GGA was carried out for Ta3Sn5Au after structural relaxation.

Structure (POSCAR):
```
Ta3Sn5Au
1.0
5.762 0.000 0.000
-2.881 4.990 0.000
0.000 0.000 7.579
Au Sn Ta
1 5 3
Direct
0.000 0.000 0.000
0.667 0.333 0.185
0.333 0.667 0.185
0.000 0.000 0.500
0.667 0.333 0.815
0.333 0.667 0.815
0.500 0.000 0.500
0.000 0.500 0.500
0.500 0.500 0.500
```

Calculated values
size of the total moment = 0.00 Bohr magnetons per cell
crystal system = hexagonal



| no. | DFT total energy (eV for the cell shown) |
| --- | --- |
| 1 | -19.5 |
| 2 | -57.1 |